## Ca2BrN (GGA-PBEsol)

Data for a geometry-optimized Ca2BrN structure.

- V: 19.9 A^3/atom
- ΔE_f (raw): -6.00 eV/f.u.
- Crystal system: trigonal
- Total magnetization: 0.1 μB/f.u.

Unit cell a=3.6658 b=3.6658 c=7.1497 alpha=75.15 beta=75.15 gamma=60.00
Sites, in units of the cell vectors:
Ca 0.7740 0.7740 0.6779
Ca 0.2260 0.2260 0.3221
Br 0.0000 0.0000 0.0000
N 0.5000 0.5000 0.5000

=====

## CaBr2N2 (GGA-PBEsol)

Data for a geometry-optimized CaBr2N2 structure.

- V: 19.5 A^3/atom
- ΔE_f (raw): 4.89 eV/f.u.
- Crystal system: tetragonal
- Total magnetization: 2.6 μB/f.u.

Unit cell a=3.2969 b=3.2969 c=9.2527 alpha=100.26 beta=100.26 gamma=90.00
Last column: magnetic moment on the atom in μB.
Sites, in units of the cell vectors:
Ca 0.0000 0.0000 0.0000  0.01
Br 0.4032 0.4032 0.8064  0.06
Br 0.5968 0.5968 0.1936  0.06
N 0.2500 0.7500 0.5000  0.84
N 0.7500 0.2500 0.5000  0.84

=====

## CaBrNO2 (GGA-PBEsol)

Data for a geometry-optimized CaBrNO2 structure.

- V: 19.6 A^3/atom
- ΔE_f (raw): 3.16 eV/f.u.
- Crystal system: tetragonal
- Total magnetization: 6.0 μB/f.u.

Unit cell a=4.4962 b=4.4962 c=4.8413 alpha=90.00 beta=90.00 gamma=90.00
Last column: magnetic moment on the atom in μB.
Sites, in units of the cell vectors:
Ca 0.0000 0.0000 0.0000  0.02
O 0.0000 0.5000 0.0000  0.99
O 0.5000 0.0000 0.0000  0.99
Br 0.5000 0.5000 0.5000  0.76
N 0.0000 0.0000 0.5000  1.75

=====

## SrCaBrN2 (GGA-PBEsol)

Data for a geometry-optimized SrCaBrN2 structure.

- V: 21.6 A^3/atom
- ΔE_f (raw): 5.49 eV/f.u.
- Crystal system: tetragonal
- Total magnetization: 0.0 μB/f.u.

Unit cell a=4.7658 b=4.7602 c=4.7602 alpha=90.00 beta=90.00 gamma=90.00
Sites, in units of the cell vectors:
Sr 0.5000 0.5000 0.5000
Ca 0.5000 0.0000 0.0000
Br 0.0000 0.0000 0.0000
N 0.0000 0.0000 0.5000
N 0.0000 0.5000 0.0000

=====

## SrCa3Br2N2 (GGA-PBEsol)

Data for a geometry-optimized SrCa3Br2N2 structure.

- V: 20.9 A^3/atom
- ΔE_f (raw): -11.65 eV/f.u.
- Crystal system: monoclinic
- Total magnetization: 0.1 μB/f.u.

Unit cell a=3.7223 b=6.4509 c=7.2879 alpha=107.21 beta=90.00 gamma=90.00
Last column: magnetic moment on the atom in μB.
Sites, in units of the cell vectors:
Sr 0.5000 0.7290 0.6881  0.01
Ca 0.0000 0.2237 0.6674  0.00
Ca 0.5000 0.2735 0.3209  0.01
Ca 0.0000 0.7740 0.3204  0.00
Br 0.0000 0.0100 0.0118  0.00
Br 0.5000 0.4944 0.0042  0.00
N 0.0000 0.4918 0.4925  0.05
N 0.5000 0.0036 0.4948  0.03

=====

## NaCaBr3 (GGA-PBEsol)

Data for a geometry-optimized NaCaBr3 structure.

- V: 28.9 A^3/atom
- ΔE_f (raw): -6.66 eV/f.u.
- Crystal system: cubic
- Total magnetization: 0.0 μB/f.u.

Unit cell a=5.2477 b=5.2477 c=5.2477 alpha=90.00 beta=90.00 gamma=90.00
Sites, in units of the cell vectors:
Na 0.0000 0.0000 0.0000
Ca 0.5000 0.5000 0.5000
Br 0.0000 0.5000 0.0000
Br 0.0000 0.0000 0.5000
Br 0.5000 0.0000 0.0000

=====

## NaCa2Br2 (GGA-PBEsol)

Data for a geometry-optimized NaCa2Br2 structure.

- V: 35.0 A^3/atom
- ΔE_f (raw): -4.37 eV/f.u.
- Crystal system: tetragonal
- Total magnetization: 0.9 μB/f.u.

Unit cell a=5.2577 b=5.2577 c=7.3376 alpha=110.99 beta=110.99 gamma=90.00
Last column: magnetic moment on the atom in μB.
Sites, in units of the cell vectors:
Na 0.0000 0.0000 0.0000  0.00
Ca 0.2500 0.7500 0.5000  0.14
Ca 0.7500 0.2500 0.5000  0.14
Br 0.3492 0.3492 0.6984  0.00
Br 0.6508 0.6508 0.3016  0.00

=====

## NaCa3Br (GGA-PBEsol)

Data for a geometry-optimized NaCa3Br structure.

- V: 38.2 A^3/atom
- ΔE_f (raw): -1.51 eV/f.u.
- Crystal system: cubic
- Total magnetization: 0.1 μB/f.u.

Unit cell a=5.7584 b=5.7584 c=5.7584 alpha=90.00 beta=90.00 gamma=90.00
Sites, in units of the cell vectors:
Na 0.5000 0.5000 0.5000
Ca 0.0000 0.5000 0.0000
Ca 0.0000 0.0000 0.5000
Ca 0.5000 0.0000 0.0000
Br 0.0000 0.0000 0.0000

=====

## NaCaNb2Br (GGA-PBEsol)

Data for a geometry-optimized NaCaNb2Br structure.

- V: 26.7 A^3/atom
- ΔE_f (raw): 8.41 eV/f.u.
- Crystal system: tetragonal
- Total magnetization: 0.0 μB/f.u.

Unit cell a=4.8636 b=4.8636 c=5.6500 alpha=90.00 beta=90.00 gamma=90.00
Sites, in units of the cell vectors:
Na 0.5000 0.5000 0.5000
Nb 0.0000 0.5000 0.0000
Nb 0.5000 0.0000 0.0000
Ca 0.0000 0.0000 0.0000
Br 0.0000 0.0000 0.5000

=====

## NaCaSe2Br (GGA-PBEsol)

Data for a geometry-optimized NaCaSe2Br structure.

- V: 27.1 A^3/atom
- ΔE_f (raw): -2.80 eV/f.u.
- Crystal system: tetragonal
- Total magnetization: 0.0 μB/f.u.

Unit cell a=4.9969 b=4.9969 c=5.4200 alpha=90.00 beta=90.00 gamma=90.00
Sites, in units of the cell vectors:
Na 0.0000 0.0000 0.0000
Ca 0.5000 0.5000 0.5000
Se 0.0000 0.5000 0.0000
Se 0.5000 0.0000 0.0000
Br 0.0000 0.0000 0.5000

=====

## Na2CaZnBr (GGA-PBEsol)

Data for a geometry-optimized Na2CaZnBr structure.

- V: 48.1 A^3/atom
- ΔE_f (raw): 1.78 eV/f.u.
- Crystal system: tetragonal
- Total magnetization: 0.0 μB/f.u.

Unit cell a=5.6635 b=6.5183 c=6.5183 alpha=90.00 beta=90.00 gamma=90.00
Sites, in units of the cell vectors:
Na 0.0000 0.0000 0.5000
Na 0.0000 0.5000 0.0000
Zn 0.5000 0.0000 0.0000
Ca 0.0000 0.0000 0.0000
Br 0.5000 0.5000 0.5000

=====

## CaNb2Br (GGA-PBEsol)

Data for a geometry-optimized CaNb2Br structure.

- V: 20.1 A^3/atom
- ΔE_f (raw): 4.71 eV/f.u.
- Crystal system: cubic
- Total magnetization: 2.2 μB/f.u.

Unit cell a=4.8446 b=4.8446 c=4.8446 alpha=60.00 beta=60.00 gamma=60.00
Last column: magnetic moment on the atom in μB.
Sites, in units of the cell vectors:
Nb 0.2500 0.2500 0.2500  0.80
Nb 0.7500 0.7500 0.7500  0.80
Ca 0.0000 0.0000 0.0000  0.16
Br 0.5000 0.5000 0.5000  0.00

=====

## CaNiBr2 (GGA-PBEsol)

Data for a geometry-optimized CaNiBr2 structure.

- V: 23.5 A^3/atom
- ΔE_f (raw): -1.98 eV/f.u.
- Crystal system: orthorhombic
- Total magnetization: 0.2 μB/f.u.

Unit cell a=3.9094 b=3.8941 c=7.1515 alpha=90.00 beta=90.00 gamma=120.13
Last column: magnetic moment on the atom in μB.
Sites, in units of the cell vectors:
Ni 0.5000 0.0000 0.0000  0.22
Ca 0.5000 0.0000 0.5000  -0.02
Br 0.0000 0.0000 0.7816  0.01
Br 0.0000 0.0000 0.2184  0.01

=====

## CaNiBr2 (GGA-PBEsol)

Data for a geometry-optimized CaNiBr2 structure.

- V: 24.9 A^3/atom
- ΔE_f (raw): -2.25 eV/f.u.
- Crystal system: monoclinic
- Total magnetization: 0.0 μB/f.u.

Unit cell a=5.0294 b=5.1169 c=5.1169 alpha=95.39 beta=115.89 gamma=115.89
Sites, in units of the cell vectors:
Ni 0.5000 0.0000 0.0000
Ca 0.5000 0.5000 0.5000
Br 0.0000 0.0000 0.5000
Br 0.0000 0.5000 0.0000

=====

## CaNiBr2 (GGA-PBEsol)

Data for a geometry-optimized CaNiBr2 structure.

- V: 27.6 A^3/atom
- ΔE_f (raw): -3.68 eV/f.u.
- Crystal system: monoclinic
- Total magnetization: 0.0 μB/f.u.

Unit cell a=3.9372 b=4.3431 c=6.7457 alpha=90.56 beta=106.97 gamma=90.00
Sites, in units of the cell vectors:
Ni 0.0000 0.0000 0.0000
Ca 0.5000 0.5000 0.0000
Br 0.1471 0.2650 0.2943
Br 0.8529 0.7350 0.7057

=====

## CaNiSeBr2 (GGA-PBEsol)

Data for a geometry-optimized CaNiSeBr2 structure.

- V: 22.5 A^3/atom
- ΔE_f (raw): -4.13 eV/f.u.
- Crystal system: tetragonal
- Total magnetization: 0.0 μB/f.u.

Unit cell a=4.7543 b=4.7543 c=4.9817 alpha=90.00 beta=90.00 gamma=90.00
Sites, in units of the cell vectors:
Ni 0.0000 0.0000 0.0000
Ca 0.5000 0.5000 0.5000
Se 0.0000 0.0000 0.5000
Br 0.0000 0.5000 0.0000
Br 0.5000 0.0000 0.0000

=====

## Ca2ZrNiBr (GGA-PBEsol)

Data for a geometry-optimized Ca2ZrNiBr structure.

- V: 32.0 A^3/atom
- ΔE_f (raw): 2.37 eV/f.u.
- Crystal system: tetragonal
- Total magnetization: 1.8 μB/f.u.

Unit cell a=4.3661 b=6.0558 c=6.0558 alpha=90.00 beta=90.00 gamma=90.00
Last column: magnetic moment on the atom in μB.
Sites, in units of the cell vectors:
Ni 0.5000 0.0000 0.0000  0.10
Ca 0.0000 0.0000 0.5000  0.12
Ca 0.0000 0.5000 0.0000  0.12
Br 0.5000 0.5000 0.5000  0.03
Zr 0.0000 0.0000 0.0000  0.59

=====

## CaBr2O (GGA-PBEsol)

Data for a geometry-optimized CaBr2O structure.

- V: 23.1 A^3/atom
- ΔE_f (raw): -6.22 eV/f.u.
- Crystal system: monoclinic
- Total magnetization: 0.0 μB/f.u.

Unit cell a=3.8907 b=3.8907 c=7.2482 alpha=96.10 beta=99.91 gamma=118.78
Sites, in units of the cell vectors:
Ca 0.3625 0.0280 0.3905
Br 0.8755 0.2434 0.1189
Br 0.8115 0.9300 0.7415
O 0.7498 0.7276 0.4774

=====

## CaRuBr2O (GGA-PBEsol)

Data for a geometry-optimized CaRuBr2O structure.

- V: 20.4 A^3/atom
- ΔE_f (raw): -4.48 eV/f.u.
- Crystal system: tetragonal
- Total magnetization: 0.0 μB/f.u.

Unit cell a=3.7022 b=5.2519 c=5.2519 alpha=90.00 beta=90.00 gamma=90.00
Sites, in units of the cell vectors:
Ru 0.0000 0.0000 0.0000
Ca 0.5000 0.5000 0.5000
O 0.5000 0.0000 0.0000
Br 0.0000 0.0000 0.5000
Br 0.0000 0.5000 0.0000

=====

## Ca4OsBr (GGA-PBEsol)

Data for a geometry-optimized Ca4OsBr structure.

- V: 26.9 A^3/atom
- ΔE_f (raw): 4.78 eV/f.u.
- Crystal system: cubic
- Total magnetization: 0.0 μB/f.u.

Unit cell a=6.1092 b=6.1092 c=6.1092 alpha=60.00 beta=60.00 gamma=60.00
Sites, in units of the cell vectors:
Br 0.0000 0.0000 0.0000
Ca 0.8697 0.3768 0.3768
Ca 0.3768 0.3768 0.3768
Ca 0.3768 0.3768 0.8697
Ca 0.3768 0.8697 0.3768
Os 0.7500 0.7500 0.7500

=====

## CaOs2Br (GGA-PBEsol)

Data for a geometry-optimized CaOs2Br structure.

- V: 19.5 A^3/atom
- ΔE_f (raw): 0.69 eV/f.u.
- Crystal system: orthorhombic
- Total magnetization: 0.0 μB/f.u.

Unit cell a=3.0316 b=3.4513 c=7.5984 alpha=90.00 beta=101.49 gamma=90.00
Sites, in units of the cell vectors:
Ca 0.4413 0.5000 0.7576
Os 0.0854 0.0000 0.0459
Os 0.6567 0.5000 0.1887
Br 0.8166 0.0000 0.5078

=====

## CaOs2Br (GGA-PBEsol)

Data for a geometry-optimized CaOs2Br structure.

- V: 17.3 A^3/atom
- ΔE_f (raw): 3.97 eV/f.u.
- Crystal system: tetragonal
- Total magnetization: 0.0 μB/f.u.

Unit cell a=4.4981 b=4.4981 c=4.4981 alpha=102.20 beta=113.22 gamma=113.22
Sites, in units of the cell vectors:
Ca 0.5000 0.7500 0.2500
Os 0.0000 0.0000 0.0000
Os 0.5000 0.2500 0.7500
Br 0.0000 0.5000 0.5000

=====

## CaOs2Br (GGA-PBEsol)

Data for a geometry-optimized CaOs2Br structure.

- V: 19.8 A^3/atom
- ΔE_f (raw): 2.40 eV/f.u.
- Crystal system: tetragonal
- Total magnetization: 0.0 μB/f.u.

Unit cell a=3.6399 b=3.6399 c=5.9753 alpha=90.00 beta=90.00 gamma=90.00
Sites, in units of the cell vectors:
Ca 0.0000 0.0000 0.5000
Os 0.0000 0.5000 0.0000
Os 0.5000 0.0000 0.0000
Br 0.5000 0.5000 0.5000

=====

## CaSnOsBr2 (GGA-PBEsol)

Data for a geometry-optimized CaSnOsBr2 structure.

- V: 35.0 A^3/atom
- ΔE_f (raw): 4.52 eV/f.u.
- Crystal system: tetragonal
- Total magnetization: 2.6 μB/f.u.

Unit cell a=5.1408 b=5.1408 c=6.6225 alpha=90.00 beta=90.00 gamma=90.00
Last column: magnetic moment on the atom in μB.
Sites, in units of the cell vectors:
Ca 0.0000 0.0000 0.0000  -0.03
Os 0.5000 0.5000 0.5000  2.99
Sn 0.0000 0.0000 0.5000  -0.31
Br 0.0000 0.5000 0.0000  0.00
Br 0.5000 0.0000 0.0000  0.00

=====

## Ca2PBr (GGA-PBEsol)

Data for a geometry-optimized Ca2PBr structure.

- V: 26.7 A^3/atom
- ΔE_f (raw): -6.06 eV/f.u.
- Crystal system: trigonal
- Total magnetization: 0.0 μB/f.u.

Unit cell a=4.1287 b=4.1287 c=7.6299 alpha=74.30 beta=74.30 gamma=60.00
Sites, in units of the cell vectors:
P 0.4180 0.4180 0.7459
Ca 0.0177 0.0177 0.9470
Ca 0.8183 0.8183 0.5450
Br 0.2460 0.2460 0.2621

=====

## Ca2PBr (GGA-PBEsol)

Data for a geometry-optimized Ca2PBr structure.

- V: 34.4 A^3/atom
- ΔE_f (raw): -4.89 eV/f.u.
- Crystal system: tetragonal
- Total magnetization: 0.0 μB/f.u.

Unit cell a=6.3721 b=6.3721 c=8.1459 alpha=113.02 beta=113.02 gamma=90.00
Sites, in units of the cell vectors:
P 0.7500 0.2500 0.5000
P 0.5000 0.5000 0.0000
Ca 0.4134 0.8750 0.2500
Ca 0.8366 0.3750 0.2500
Ca 0.1250 0.1634 0.7500
Ca 0.6250 0.5866 0.7500
Br 0.2500 0.7500 0.5000
Br 0.0000 0.0000 0.0000

=====

## Ca2PBr (GGA-PBEsol)

Data for a geometry-optimized Ca2PBr structure.

- V: 23.0 A^3/atom
- ΔE_f (raw): -5.21 eV/f.u.
- Crystal system: cubic
- Total magnetization: 0.0 μB/f.u.

Unit cell a=5.0655 b=5.0655 c=5.0655 alpha=60.00 beta=60.00 gamma=60.00
Sites, in units of the cell vectors:
Br 0.0000 0.0000 0.0000
Ca 0.2500 0.2500 0.2500
Ca 0.7500 0.7500 0.7500
P 0.5000 0.5000 0.5000

=====

## CaPS2Br (GGA-PBEsol)

Data for a geometry-optimized CaPS2Br structure.

- V: 28.8 A^3/atom
- ΔE_f (raw): 3.24 eV/f.u.
- Crystal system: tetragonal
- Total magnetization: 1.3 μB/f.u.

Unit cell a=5.1017 b=5.1017 c=5.5363 alpha=90.00 beta=90.00 gamma=90.00
Last column: magnetic moment on the atom in μB.
Sites, in units of the cell vectors:
P 0.0000 0.0000 0.5000  -0.34
Ca 0.0000 0.0000 0.0000  -0.01
S 0.0000 0.5000 0.0000  0.53
S 0.5000 0.0000 0.0000  0.53
Br 0.5000 0.5000 0.5000  0.25

=====

## CaPSeBr2 (GGA-PBEsol)

Data for a geometry-optimized CaPSeBr2 structure.

- V: 25.4 A^3/atom
- ΔE_f (raw): -3.00 eV/f.u.
- Crystal system: tetragonal
- Total magnetization: 0.0 μB/f.u.

Unit cell a=5.0575 b=5.0575 c=4.9732 alpha=90.00 beta=90.00 gamma=90.00
Sites, in units of the cell vectors:
P 0.0000 0.0000 0.0000
Ca 0.5000 0.5000 0.5000
Se 0.0000 0.0000 0.5000
Br 0.0000 0.5000 0.0000
Br 0.5000 0.0000 0.0000